Here is a geometry-optimized FeReTc structure from the Alexandria database. Energies are from PBE.

```
data_FeReTc
_chemical_formula_sum 'Fe2 Re2 Tc2'
_symmetry_space_group_name_H-M 'I m m 2'
_symmetry_Int_Tables_number 44
_cell_length_a 2.661
_cell_length_b 3.864
_cell_length_c 8.028
_cell_angle_alpha 90.00
_cell_angle_beta 90.00
_cell_angle_gamma 90.00
loop_
_symmetry_equiv_pos_as_xyz
'x,y,z'
'-x,-y,z'
'-x,y,z'
'x,-y,z'
'x+1/2,y+1/2,z+1/2'
'-x+1/2,-y+1/2,z+1/2'
'-x+1/2,y+1/2,z+1/2'
'x+1/2,-y+1/2,z+1/2'
loop_
_atom_site_label
_atom_site_type_symbol
_atom_site_fract_x
_atom_site_fract_y
_atom_site_fract_z
Fe1 Fe 0.000 0.000 0.000
Re1 Re 0.000 0.000 0.664
Tc1 Tc 0.000 0.000 0.336
```

Computed properties:
N(E_F) = 6.2 states/eV per cell
E above lowest polymorph = 82 meV per atom

Here is a geometry-optimized TcIrPb structure from the Alexandria database. Energies are from PBE.

```
data_TcIrPb
_chemical_formula_sum 'Tc1 Ir1 Pb1'
_symmetry_space_group_name_H-M 'P 3 m 1'
_symmetry_Int_Tables_number 156
_cell_length_a 2.9968
_cell_length_b 2.9968
_cell_length_c 6.9615
_cell_angle_alpha 90.00
_cell_angle_beta 90.00
_cell_angle_gamma 120.00
loop_
_symmetry_equiv_pos_as_xyz
'x,y,z'
'-y,x-y,z'
'-x+y,-x,z'
'-y,-x,z'
'-x+y,y,z'
'x,x-y,z'
loop_
_atom_site_label
_atom_site_type_symbol
_atom_site_fract_x
_atom_site_fract_y
_atom_site_fract_z
Tc1 Tc 0.0000 0.0000 0.0000
Ir1 Ir 0.3333 0.6667 0.2825
Pb1 Pb 0.6667 0.3333 0.6426
```

Computed properties:
N(E_F) = 1.9 states/eV per cell
E above lowest polymorph = 156 meV per atom

Here is a geometry-optimized SrCu5P3 structure from the Alexandria database. Energies are from PBE.

```
data_SrCu5P3
_chemical_formula_sum 'Sr4 Cu20 P12'
_symmetry_space_group_name_H-M 'C m c m'
_symmetry_Int_Tables_number 63
_symmetry_space_group_name_Hall '-C 2c 2'
_cell_length_a 3.824
_cell_length_b 12.225
_cell_length_c 11.875
_cell_angle_alpha 90.00
_cell_angle_beta 90.00
_cell_angle_gamma 90.00
loop_
_atom_site_label
_atom_site_type_symbol
_atom_site_fract_x
_atom_site_fract_y
_atom_site_fract_z
Sr1 Sr 0.000 0.163 0.250
Cu1 Cu 0.000 0.000 0.000
Cu2 Cu 0.000 0.194 0.565
Cu3 Cu 0.000 0.446 0.146
P1 P 0.000 0.120 0.750
P2 P 0.000 0.381 0.546
```

Computed properties:
N(E_F) = 13.7 states/eV per cell
Final energy = -166.268 eV per cell

Here is a geometry-optimized YUCu structure from the Alexandria database. Energies are from PBE.

```
data_YUCu
_chemical_formula_sum 'Y8 U8 Cu8'
_symmetry_space_group_name_H-M 'F m m m'
_symmetry_Int_Tables_number 69
_symmetry_space_group_name_Hall '-F 2 2'
_cell_length_a 5.051
_cell_length_b 9.811
_cell_length_c 10.908
_cell_angle_alpha 90.00
_cell_angle_beta 90.00
_cell_angle_gamma 90.00
loop_
_atom_site_label
_atom_site_type_symbol
_atom_site_fract_x
_atom_site_fract_y
_atom_site_fract_z
Y1 Y 0.000 0.000 0.147
U1 U 0.000 0.188 0.500
Cu1 Cu 0.250 0.250 0.250
```

Computed properties:
N(E_F) = 51.0 states/eV per cell
Final energy = -170.293 eV per cell

Here is a geometry-optimized LaZn12Ni6 structure from the Alexandria database. Energies are from PBE.

```
data_LaZn12Ni6
_chemical_formula_sum 'La3 Zn36 Ni18'
_symmetry_space_group_name_H-M 'R -3 m'
_symmetry_Int_Tables_number 166
_symmetry_space_group_name_Hall '-R 3 2"'
_cell_length_a 10.8927
_cell_length_b 10.8927
_cell_length_c 8.4850
_cell_angle_alpha 90.00
_cell_angle_beta 90.00
_cell_angle_gamma 120.00
loop_
_atom_site_label
_atom_site_type_symbol
_atom_site_fract_x
_atom_site_fract_y
_atom_site_fract_z
La1 La 0.0000 0.0000 0.0000
Zn1 Zn 0.0000 0.3846 0.5000
Zn2 Zn 0.0888 0.1776 0.3209
Ni1 Ni 0.0497 0.5248 0.2537
```

Computed properties:
N(E_F) = 37.2 states/eV per cell
Final energy = -171.930 eV per cell

Here is a geometry-optimized La4TbCe3P8 structure from the Alexandria database. Energies are from PBE.

```
data_La4TbCe3P8
_chemical_formula_sum 'La12 Tb3 Ce9 P24'
_symmetry_space_group_name_H-M 'R -3 m'
_symmetry_Int_Tables_number 166
_symmetry_space_group_name_Hall '-R 3 2"'
_cell_length_a 8.3337
_cell_length_b 8.3337
_cell_length_c 20.4858
_cell_angle_alpha 90.00
_cell_angle_beta 90.00
_cell_angle_gamma 120.00
loop_
_atom_site_label
_atom_site_type_symbol
_atom_site_fract_x
_atom_site_fract_y
_atom_site_fract_z
La1 La 0.0000 0.0000 0.0000
La2 La 0.0000 0.5000 0.0000
Tb1 Tb 0.0000 0.0000 0.5000
Ce1 Ce 0.0000 0.5000 0.5000
P1 P 0.0000 0.0000 0.2457
P2 P 0.0000 0.5000 0.2455
```

Computed properties:
N(E_F) = 47.3 states/eV per cell
Final energy = -330.590 eV per cell

Here is a geometry-optimized TbHoTe3 structure from the Alexandria database. Energies are from PBE.

```
data_TbHoTe3
_chemical_formula_sum 'Tb4 Ho4 Te12'
_symmetry_space_group_name_H-M 'C m c m'
_symmetry_Int_Tables_number 63
_symmetry_space_group_name_Hall '-C 2c 2'
_cell_length_a 4.229
_cell_length_b 14.155
_cell_length_c 10.749
_cell_angle_alpha 90.00
_cell_angle_beta 90.00
_cell_angle_gamma 90.00
loop_
_atom_site_label
_atom_site_type_symbol
_atom_site_fract_x
_atom_site_fract_y
_atom_site_fract_z
Tb1 Tb 0.000 0.247 0.250
Ho1 Ho 0.000 0.000 0.000
Te1 Te 0.000 0.095 0.750
Te2 Te 0.000 0.352 0.567
```

Computed properties:
N(E_F) = 0.7 states/eV per cell
E_form (uncorrected) = -131.2 kJ per mole of atoms

Here is a geometry-optimized YHoAlAu structure from the Alexandria database. Energies are from PBE.

```
data_YHoAlAu
_chemical_formula_sum 'Y4 Ho4 Al4 Au4'
_symmetry_space_group_name_H-M 'F -4 3 m'
_symmetry_Int_Tables_number 216
_symmetry_space_group_name_Hall 'F -4 2 3'
_cell_length_a 7.246
_cell_length_b 7.246
_cell_length_c 7.246
_cell_angle_alpha 90.00
_cell_angle_beta 90.00
_cell_angle_gamma 90.00
loop_
_atom_site_label
_atom_site_type_symbol
_atom_site_fract_x
_atom_site_fract_y
_atom_site_fract_z
Y1 Y 0.000 0.000 0.000
Ho1 Ho 0.000 0.000 0.500
Al1 Al 0.250 0.250 0.750
Au1 Au 0.250 0.250 0.250
```

Computed properties:
N(E_F) = 9.9 states/eV per cell
E above lowest polymorph = 47 meV per atom